# Sr2MgCdPt GGA-PBE relaxed
data_Sr2MgCdPt
_chemical_formula_sum 'Sr2 Mg1 Cd1 Pt1'
_cell_length_a 5.8440
_cell_length_b 5.8440
_cell_length_c 5.1062
_cell_angle_alpha 90.00
_cell_angle_beta 90.00
_cell_angle_gamma 90.00
_symmetry_space_group_name_H-M 'P 1'
_symmetry_Int_Tables_number 1
loop_
_symmetry_equiv_pos_as_xyz
'x,y,z'
loop_
_atom_site_label
_atom_site_type_symbol
_atom_site_fract_x
_atom_site_fract_y
_atom_site_fract_z
_atom_site_occupancy
Sr1 Sr 0.0000 0.5000 0.0000 1
Sr2 Sr 0.5000 0.0000 0.0000 1
Mg1 Mg 0.0000 0.0000 0.5000 1
Cd1 Cd 0.5000 0.5000 0.5000 1
Pt1 Pt 0.0000 0.0000 0.0000 1
# Raw total energy   -2.822 eV per atom
# Space-group type   No. 123
# Energy of formation   -439 meV per atom

---

# SrMgCd2Pt GGA-PBE relaxed
data_SrMgCd2Pt
_chemical_formula_sum 'Sr1 Mg1 Cd2 Pt1'
_cell_length_a 5.2964
_cell_length_b 5.2964
_cell_length_c 4.9881
_cell_angle_alpha 90.00
_cell_angle_beta 90.00
_cell_angle_gamma 90.00
_symmetry_space_group_name_H-M 'P 1'
_symmetry_Int_Tables_number 1
loop_
_symmetry_equiv_pos_as_xyz
'x,y,z'
loop_
_atom_site_label
_atom_site_type_symbol
_atom_site_fract_x
_atom_site_fract_y
_atom_site_fract_z
_atom_site_occupancy
Sr1 Sr 0.0000 0.0000 0.0000 1
Mg1 Mg 0.5000 0.5000 0.0000 1
Cd1 Cd 0.0000 0.5000 0.5000 1
Cd2 Cd 0.5000 0.0000 0.5000 1
Pt1 Pt 0.5000 0.5000 0.5000 1
# Raw total energy   -2.582 eV per atom
# Space-group type   No. 123
# Energy of formation   -352 meV per atom

---

# ThMgCdPt GGA-PBE relaxed
data_ThMgCdPt
_chemical_formula_sum 'Th1 Mg1 Cd1 Pt1'
_cell_length_a 5.0403
_cell_length_b 5.0403
_cell_length_c 5.0403
_cell_angle_alpha 60.00
_cell_angle_beta 60.00
_cell_angle_gamma 60.00
_symmetry_space_group_name_H-M 'P 1'
_symmetry_Int_Tables_number 1
loop_
_symmetry_equiv_pos_as_xyz
'x,y,z'
loop_
_atom_site_label
_atom_site_type_symbol
_atom_site_fract_x
_atom_site_fract_y
_atom_site_fract_z
_atom_site_occupancy
Th1 Th 0.0000 0.0000 0.0000 1
Mg1 Mg 0.5000 0.5000 0.5000 1
Cd1 Cd 0.2500 0.2500 0.2500 1
Pt1 Pt 0.7500 0.7500 0.7500 1
# Raw total energy   -4.536 eV per atom
# Space-group type   No. 216
# Energy of formation   -544 meV per atom